Record 1
# LiNbIr3

A crystal of LiNbIr3 relaxed with PBEsol (meta-GGA SCAN, Alexandria via LeMat-Bulk).

Lattice parameters (Å, degrees): 4.748 4.748 4.748 90.00 90.00 90.00
Fractional positions:
Li 0.500 0.500 0.500
Ir 0.000 0.000 0.500
Nb 0.000 0.000 0.000
Ir 0.500 0.000 0.000
Ir 0.000 0.500 0.000

Output
As for the formation energy: 1.383 eV/atom.

---

Record 2
# HfCoO3

A crystal of HfCoO3 relaxed with PBEsol (meta-GGA SCAN, Alexandria via LeMat-Bulk).

Lattice parameters (Å, degrees): 5.338 5.313 7.703 90.00 90.00 90.00
Fractional positions:
O 0.662 0.837 0.569
O 0.124 0.906 0.750
O 0.838 0.337 0.569
Hf 0.000 0.000 0.000
Hf 0.000 0.000 0.500
O 0.624 0.594 0.250
O 0.838 0.337 0.931
O 0.162 0.663 0.431
Co 0.020 0.528 0.750
O 0.162 0.663 0.069
O 0.338 0.163 0.431
Hf 0.500 0.500 0.000
Co 0.980 0.472 0.250
O 0.876 0.094 0.250
O 0.376 0.406 0.750
Hf 0.500 0.500 0.500
O 0.338 0.163 0.069
Co 0.520 0.972 0.250
O 0.662 0.837 0.931
Co 0.480 0.028 0.750

Output
Its formation energy from raw total energies is -2674 meV/atom.

---

Record 3
# Cd2InPb

A crystal of Cd2InPb relaxed with PBEsol (meta-GGA SCAN, Alexandria via LeMat-Bulk).

Lattice parameters (Å, degrees): 5.204 5.204 5.204 60.00 60.00 60.00
Fractional positions:
Cd 0.250 0.250 0.250
Pb 0.750 0.750 0.750
In 0.500 0.500 0.500
Cd 0.000 0.000 0.000

Output
The calculation puts the polymorph energy (0 for the lowest one) at 0.24 eV per formula unit. As for the formation energy: 0.122 eV/atom.

---

Record 4
# Li3Al

A crystal of Li3Al relaxed with PBEsol (meta-GGA SCAN, Alexandria via LeMat-Bulk).

Lattice parameters (Å, degrees): 2.952 4.784 4.784 103.36 90.00 90.00
Fractional positions:
Li 0.500 0.000 0.500
Al 0.000 0.000 0.000
Li 0.000 0.500 0.500
Li 0.500 0.500 0.000

Output
As for the formation energy: -0.071 eV/atom.

---

Record 5
# YCo2As

A crystal of YCo2As relaxed with PBEsol (meta-GGA SCAN, Alexandria via LeMat-Bulk).

Lattice parameters (Å, degrees): 3.554 4.044 4.044 90.00 90.00 90.00
Fractional positions:
As 0.500 0.000 0.000
Co 0.000 0.000 0.500
Y 0.500 0.500 0.500
Co 0.000 0.500 0.000

Output
As for the formation energy: -0.122 eV/atom.

---

Record 6
# Ta14Cu3S24

A crystal of Ta14Cu3S24 relaxed with PBEsol (meta-GGA SCAN, Alexandria via LeMat-Bulk).

Lattice parameters (Å, degrees): 6.591 8.701 12.875 92.39 97.84 101.35
Fractional positions:
Ta 0.148 0.650 0.000
Ta 0.274 0.301 0.752
Ta 0.727 0.700 0.248
S 0.907 0.577 0.125
Ta 0.596 0.637 0.754
S 0.005 0.405 0.628
S 0.824 0.940 0.371
S 0.341 0.730 0.630
S 0.657 0.261 0.369
S 0.519 0.407 0.628
S 0.089 0.240 0.124
S 0.324 0.932 0.366
Cu 0.794 0.720 0.463
S 0.092 0.422 0.875
Ta 0.434 0.973 0.757
Cu 0.206 0.285 0.536
Ta 0.407 0.363 0.246
S 0.751 0.100 0.880
Ta 0.897 0.363 0.249
S 0.157 0.261 0.365
Ta 0.058 0.023 0.243
S 0.169 0.064 0.628
Ta 0.767 0.305 0.751
S 0.252 0.098 0.879
Ta 0.100 0.637 0.752
S 0.911 0.761 0.877
Ta 0.569 0.028 0.242
Ta 0.852 0.350 0.001
S 0.748 0.901 0.120
Ta 0.938 0.976 0.757
S 0.482 0.592 0.373
S 0.993 0.595 0.372
S 0.589 0.240 0.118
S 0.684 0.071 0.631
S 0.582 0.430 0.878
S 0.411 0.761 0.880
Ta 0.232 0.693 0.249
S 0.248 0.899 0.120
S 0.842 0.739 0.634
Cu 0.376 0.945 0.537
S 0.418 0.570 0.123

Output
Its formation energy from raw total energies is -1104 meV/atom.

---

Record 7
# Li2MnSe

A crystal of Li2MnSe relaxed with PBEsol (meta-GGA SCAN, Alexandria via LeMat-Bulk).

Lattice parameters (Å, degrees): 3.070 3.070 5.843 90.00 90.00 90.00
Fractional positions:
Se 0.500 0.500 0.708
Mn 0.000 0.000 0.531
Li 0.500 0.500 0.275
Li 0.000 0.000 0.987

Output
Its formation energy from raw total energies is -181 meV/atom.

---

Record 8
# SnSe3N

A crystal of SnSe3N relaxed with PBEsol (meta-GGA SCAN, Alexandria via LeMat-Bulk).

Lattice parameters (Å, degrees): 5.244 5.244 5.244 90.00 90.00 90.00
Fractional positions:
Sn 0.000 0.000 0.000
N 0.500 0.500 0.500
Se 0.500 0.000 0.000
Se 0.000 0.000 0.500
Se 0.000 0.500 0.000

Output
Its formation energy from raw total energies is 1374 meV/atom.

---

Record 9
# AsOs2Au

A crystal of AsOs2Au relaxed with PBEsol (meta-GGA SCAN, Alexandria via LeMat-Bulk).

Lattice parameters (Å, degrees): 2.875 4.222 5.467 99.47 90.00 109.90
Fractional positions:
Os 0.253 0.505 0.288
As 0.000 0.000 0.500
Os 0.747 0.495 0.712
Au 0.500 0.000 0.000

Output
As for the formation energy: 0.531 eV/atom.

---

Record 10
# Nd3Co

A crystal of Nd3Co relaxed with PBEsol (meta-GGA SCAN, Alexandria via LeMat-Bulk).

Lattice parameters (Å, degrees): 6.303 6.968 9.714 90.00 90.00 90.00
Fractional positions:
Co 0.563 0.884 0.250
Nd 0.825 0.669 0.069
Co 0.937 0.384 0.250
Nd 0.325 0.831 0.931
Nd 0.675 0.169 0.069
Nd 0.175 0.331 0.931
Co 0.437 0.116 0.750
Nd 0.854 0.956 0.750
Nd 0.325 0.831 0.569
Nd 0.354 0.544 0.250
Nd 0.175 0.331 0.569
Nd 0.675 0.169 0.431
Nd 0.825 0.669 0.431
Nd 0.146 0.044 0.250
Co 0.063 0.616 0.750
Nd 0.646 0.456 0.750

Output
As for the formation energy: 0.000 eV/atom.

---

Record 11
# K2SrP

A crystal of K2SrP relaxed with PBEsol (meta-GGA SCAN, Alexandria via LeMat-Bulk).

Lattice parameters (Å, degrees): 4.148 4.148 9.801 90.00 90.00 90.00
Fractional positions:
K 0.000 0.000 0.942
P 0.000 0.000 0.580
K 0.500 0.500 0.327
Sr 0.500 0.500 0.650

Output
As for the formation energy: -0.410 eV/atom.

---

Record 12
# Ta2InP

A crystal of Ta2InP relaxed with PBEsol (meta-GGA SCAN, Alexandria via LeMat-Bulk).

Lattice parameters (Å, degrees): 3.161 3.161 8.799 79.65 79.65 60.00
Fractional positions:
P 0.739 0.739 0.783
Ta 0.006 0.006 0.981
In 0.497 0.497 0.509
Ta 0.257 0.257 0.228

Output
The calculation puts the polymorph energy (0 for the lowest one) at 0.64 eV per formula unit. As for the formation energy: 0.062 eV/atom.

---

Record 13
# KCu2Mo

A crystal of KCu2Mo relaxed with PBEsol (meta-GGA SCAN, Alexandria via LeMat-Bulk).

Lattice parameters (Å, degrees): 2.576 4.438 7.055 94.00 90.00 106.87
Fractional positions:
Cu 0.742 0.484 0.657
K 0.500 0.000 0.000
Cu 0.258 0.516 0.343
Mo 0.000 0.000 0.500

Output
The calculation puts the polymorph energy (0 for the lowest one) at 0.06 eV per formula unit. As for the formation energy: 0.736 eV/atom.

---

Record 14
# LiBeAg

A crystal of LiBeAg relaxed with PBEsol (meta-GGA SCAN, Alexandria via LeMat-Bulk).

Lattice parameters (Å, degrees): 4.053 4.053 4.053 60.00 60.00 60.00
Fractional positions:
Be 0.000 0.000 0.000
Li 0.500 0.500 0.500
Ag 0.250 0.250 0.250

Output
As for the formation energy: 0.347 eV/atom.

---

Record 15
# ScTa2Co

A crystal of ScTa2Co relaxed with PBEsol (meta-GGA SCAN, Alexandria via LeMat-Bulk).

Lattice parameters (Å, degrees): 3.795 3.795 5.304 110.96 110.96 90.00
Fractional positions:
Co 0.500 0.500 0.000
Ta 0.250 0.750 0.500
Sc 0.000 0.000 0.000
Ta 0.750 0.250 0.500

Output
The calculation puts the polymorph energy (0 for the lowest one) at 0.48 eV per formula unit. As for the formation energy: 0.219 eV/atom.

---

Record 16
# NaAs2O2

A crystal of NaAs2O2 relaxed with PBEsol (meta-GGA SCAN, Alexandria via LeMat-Bulk).

Lattice parameters (Å, degrees): 4.262 4.262 5.545 112.60 112.60 90.00
Fractional positions:
As 0.695 0.695 0.390
O 0.750 0.250 0.500
O 0.250 0.750 0.500
As 0.305 0.305 0.610
Na 0.000 0.000 0.000

Output
Its formation energy from raw total energies is -311 meV/atom.

---

Record 17
# Sc3GePt

A crystal of Sc3GePt relaxed with PBEsol (meta-GGA SCAN, Alexandria via LeMat-Bulk).

Lattice parameters (Å, degrees): 4.973 4.973 4.973 90.00 90.00 90.00
Fractional positions:
Sc 0.000 0.500 0.000
Ge 0.500 0.500 0.500
Sc 0.500 0.000 0.000
Pt 0.000 0.000 0.000
Sc 0.000 0.000 0.500

Output
As for the formation energy: -0.442 eV/atom.

---

Record 18
# Mn2NiB2

A crystal of Mn2NiB2 relaxed with PBEsol (meta-GGA SCAN, Alexandria via LeMat-Bulk).

Lattice parameters (Å, degrees): 3.015 5.249 5.249 90.00 90.00 90.00
Fractional positions:
Ni 0.000 0.000 0.000
Mn 0.500 0.329 0.171
B 0.000 0.120 0.380
Ni 0.000 0.500 0.500
Mn 0.500 0.671 0.829
Mn 0.500 0.171 0.671
Mn 0.500 0.829 0.329
B 0.000 0.380 0.880
B 0.000 0.620 0.120
B 0.000 0.880 0.620

Output
As for the formation energy: -0.412 eV/atom.

---

Record 19
# Cs2NaVO4

A crystal of Cs2NaVO4 relaxed with PBEsol (meta-GGA SCAN, Alexandria via LeMat-Bulk).

Lattice parameters (Å, degrees): 6.043 6.130 8.227 90.00 93.22 90.00
Fractional positions:
Na 0.875 0.750 0.028
O 0.840 0.477 0.832
O 0.434 0.250 0.817
O 0.566 0.750 0.183
O 0.160 0.523 0.168
O 0.303 0.750 0.453
O 0.840 0.023 0.832
Na 0.125 0.250 0.972
Cs 0.803 0.750 0.515
Cs 0.355 0.750 0.819
V 0.702 0.250 0.756
O 0.160 0.977 0.168
O 0.697 0.250 0.547
V 0.298 0.750 0.244
Cs 0.197 0.250 0.485
Cs 0.645 0.250 0.181

Output
Its formation energy from raw total energies is -2401 meV/atom.

---

Record 20
# Li2MgIn

A crystal of Li2MgIn relaxed with PBEsol (meta-GGA SCAN, Alexandria via LeMat-Bulk).

Lattice parameters (Å, degrees): 3.452 3.452 6.353 90.00 90.00 90.00
Fractional positions:
Li 0.000 0.000 0.265
In 0.500 0.500 0.500
Mg 0.500 0.500 0.000
Li 0.000 0.000 0.735

Output
As for the formation energy: -0.251 eV/atom.

---

Record 21
# BaRhS3

A crystal of BaRhS3 relaxed with PBEsol (meta-GGA SCAN, Alexandria via LeMat-Bulk).

Lattice parameters (Å, degrees): 5.605 5.605 5.605 90.00 90.00 90.00
Fractional positions:
S 0.000 0.500 0.000
S 0.000 0.000 0.500
Ba 0.000 0.000 0.000
S 0.500 0.000 0.000
Rh 0.500 0.500 0.500

Output
The calculation puts the polymorph energy (0 for the lowest one) at 9.96 eV per formula unit. Its formation energy from raw total energies is 1082 meV/atom.

---

Record 22
# ZrSb4Os

A crystal of ZrSb4Os relaxed with PBEsol (meta-GGA SCAN, Alexandria via LeMat-Bulk).

Lattice parameters (Å, degrees): 5.855 5.855 5.855 60.00 60.00 60.00
Fractional positions:
Sb 0.375 0.375 0.876
Os 0.000 0.000 0.000
Sb 0.876 0.375 0.375
Sb 0.375 0.375 0.375
Sb 0.375 0.876 0.375
Zr 0.750 0.750 0.750

Output
Its formation energy from raw total energies is 1091 meV/atom.

---

Record 23
# IrPtRh

A crystal of IrPtRh relaxed with PBEsol (meta-GGA SCAN, Alexandria via LeMat-Bulk).

Lattice parameters (Å, degrees): 2.718 3.834 4.699 114.07 106.81 90.00
Fractional positions:
Rh 0.664 0.664 0.329
Pt 0.334 0.334 0.667
Ir 0.002 0.002 0.004

Output
The calculation puts the polymorph energy (0 for the lowest one) at 0.03 eV per formula unit. As for the formation energy: 0.017 eV/atom.

---

Record 24
# Th3As4

A crystal of Th3As4 relaxed with PBEsol (meta-GGA SCAN, Alexandria via LeMat-Bulk).

Lattice parameters (Å, degrees): 7.613 7.613 7.613 109.47 109.47 109.47
Fractional positions:
As 0.159 0.159 0.659
As 0.000 0.500 0.841
Th 0.125 0.875 0.250
As 0.341 0.000 0.000
Th 0.250 0.375 0.125
Th 0.625 0.250 0.875
Th 0.750 0.125 0.375
Th 0.875 0.750 0.625
As 0.841 0.000 0.000
As 0.500 0.341 0.500
As 0.500 0.841 0.500
As 0.659 0.659 0.159
Th 0.375 0.625 0.750
As 0.000 0.500 0.341

Output
As for the formation energy: -1.407 eV/atom.

---

Record 25
# KRbZnPd2

A crystal of KRbZnPd2 relaxed with PBEsol (meta-GGA SCAN, Alexandria via LeMat-Bulk).

Lattice parameters (Å, degrees): 5.347 5.347 6.024 90.00 90.00 90.00
Fractional positions:
Pd 0.500 0.000 0.000
Rb 0.000 0.000 0.000
Zn 0.000 0.000 0.500
Pd 0.000 0.500 0.000
K 0.500 0.500 0.500

Output
As for the formation energy: 0.975 eV/atom.